a | Computed, not measured: crystalline PmNd6Ho2 at its relaxed geometry at the PBE-GGA level of DFT.

Properties
**M_tot**: 0.000 μB per formula unit
**N(E_F)**: 14.00 states/eV/f.u.

Geometry as CIF:
```
data_PmNd6Ho2
_space_group_name_H-M_alt 'P -1'
_space_group_IT_number 2
_cell_length_a 3.6493
_cell_length_b 8.9287
_cell_length_c 9.6326
_cell_angle_alpha 90.35
_cell_angle_beta 100.91
_cell_angle_gamma 90.10
loop_
_space_group_symop_operation_xyz
'x,y,z'
'-x,-y,-z'
loop_
_atom_site_label
_atom_site_type_symbol
_atom_site_fract_x
_atom_site_fract_y
_atom_site_fract_z
Pm1 Pm 0.0000 0.0000 0.0000
Nd1 Nd 0.1090 0.6643 0.2180
Nd2 Nd 0.2209 0.3345 0.4414
Nd3 Nd 0.3338 0.0011 0.6685
Ho1 Ho 0.4450 0.6672 0.8900
```

b | Computed, not measured: crystalline PmNd6Ho2 at its relaxed geometry at the PBE-GGA level of DFT.

Properties
**M_tot**: 0.979 μB per formula unit
**N(E_F)**: 13.99 states/eV/f.u.

Geometry as CIF:
```
data_PmNd6Ho2
_space_group_name_H-M_alt 'C 1 2/m 1'
_space_group_IT_number 12
_cell_length_a 13.2005
_cell_length_b 7.6201
_cell_length_c 6.2099
_cell_angle_alpha 90.00
_cell_angle_beta 90.00
_cell_angle_gamma 90.00
loop_
_space_group_symop_operation_xyz
'x,y,z'
'-x,-y,-z'
'-x,y,-z'
'x,-y,z'
'x+1/2,y+1/2,z'
'-x+1/2,-y+1/2,-z'
'-x+1/2,y+1/2,-z'
'x+1/2,-y+1/2,z'
loop_
_atom_site_label
_atom_site_type_symbol
_atom_site_fract_x
_atom_site_fract_y
_atom_site_fract_z
Pm1 Pm 0.0000 0.0000 0.0000
Nd1 Nd 0.0947 0.2826 0.2881
Nd2 Nd 0.1883 0.0000 0.7131
Ho1 Ho 0.1665 0.5000 0.7820
```

Order from most stable to least stable according to the calculation: a, b

a | Computed, not measured: crystalline PmNd3Ho6 at its relaxed geometry at the PBE-GGA level of DFT.

Properties
**M_tot**: 0.001 μB per formula unit
**N(E_F)**: 21.04 states/eV/f.u.

Geometry as CIF:
```
data_PmNd3Ho6
_space_group_name_H-M_alt 'R 3'
_space_group_IT_number 146
_space_group_name_Hall 'R 3'
_cell_length_a 9.9273
_cell_length_b 9.9273
_cell_length_c 11.6523
_cell_angle_alpha 90.00
_cell_angle_beta 90.00
_cell_angle_gamma 120.00
loop_
_atom_site_label
_atom_site_type_symbol
_atom_site_fract_x
_atom_site_fract_y
_atom_site_fract_z
Pm1 Pm 0.0000 0.0000 0.0000
Nd1 Nd 0.0000 0.0000 0.2498
Nd2 Nd 0.0000 0.0000 0.5000
Nd3 Nd 0.0000 0.0000 0.7505
Ho1 Ho 0.0007 0.3272 0.7511
Ho2 Ho 0.0067 0.6672 0.9178
```

b | Computed, not measured: crystalline PmNd3Ho6 at its relaxed geometry at the PBE-GGA level of DFT.

Properties
**M_tot**: 0.000 μB per formula unit
**N(E_F)**: 14.21 states/eV/f.u.

Geometry as CIF:
```
data_PmNd3Ho6
_space_group_name_H-M_alt 'C m c 21'
_space_group_IT_number 36
_cell_length_a 11.0363
_cell_length_b 18.9636
_cell_length_c 6.3178
_cell_angle_alpha 90.00
_cell_angle_beta 90.00
_cell_angle_gamma 90.00
loop_
_space_group_symop_operation_xyz
'x,y,z'
'-x,-y,z+1/2'
'-x,y,z'
'x,-y,z+1/2'
'x+1/2,y+1/2,z'
'-x+1/2,-y+1/2,z+1/2'
'-x+1/2,y+1/2,z'
'x+1/2,-y+1/2,z+1/2'
loop_
_atom_site_label
_atom_site_type_symbol
_atom_site_fract_x
_atom_site_fract_y
_atom_site_fract_z
Pm1 Pm 0.0000 0.1978 0.0000
Nd1 Nd 0.0000 0.3891 0.0653
Nd2 Nd 0.1757 0.1124 0.6716
Ho1 Ho 0.0000 0.0408 0.2531
Ho2 Ho 0.0000 0.2747 0.4875
Ho3 Ho 0.1661 0.4538 0.5918
Ho4 Ho 0.2427 0.2899 0.7617
```

Order from most stable to least stable according to the calculation: b, a

a | Computed, not measured: crystalline Pm3Nd2Ho5 at its relaxed geometry at the PBE-GGA level of DFT.

Properties
**M_tot**: 0.000 μB per formula unit
**N(E_F)**: 16.41 states/eV/f.u.

Geometry as CIF:
```
data_Pm3Nd2Ho5
_space_group_name_H-M_alt 'C 1 2/c 1'
_space_group_IT_number 15
_cell_length_a 10.7009
_cell_length_b 16.2082
_cell_length_c 9.3715
_cell_angle_alpha 90.00
_cell_angle_beta 124.75
_cell_angle_gamma 90.00
loop_
_space_group_symop_operation_xyz
'x,y,z'
'-x,-y,-z'
'-x,y,-z+1/2'
'x,-y,z+1/2'
'x+1/2,y+1/2,z'
'-x+1/2,-y+1/2,-z'
'-x+1/2,y+1/2,-z+1/2'
'x+1/2,-y+1/2,z+1/2'
loop_
_atom_site_label
_atom_site_type_symbol
_atom_site_fract_x
_atom_site_fract_y
_atom_site_fract_z
Pm1 Pm 0.0000 0.2276 0.2500
Pm2 Pm 0.1546 0.1222 0.0474
Nd1 Nd 0.1431 0.3763 0.5473
Ho1 Ho 0.0000 0.0271 0.2500
Ho2 Ho 0.0000 0.2700 0.7500
Ho3 Ho 0.0000 0.4759 0.7500
Ho4 Ho 0.2385 0.1170 0.7303
```

b | Computed, not measured: crystalline Pm3Nd2Ho5 at its relaxed geometry at the PBE-GGA level of DFT.

Properties
**M_tot**: 0.000 μB per formula unit
**N(E_F)**: 15.51 states/eV/f.u.

Geometry as CIF:
```
data_Pm3Nd2Ho5
_space_group_name_H-M_alt 'I b a m'
_space_group_IT_number 72
_space_group_name_Hall '-I 2 2c'
_cell_length_a 9.4536
_cell_length_b 21.8766
_cell_length_c 6.8481
_cell_angle_alpha 90.00
_cell_angle_beta 90.00
_cell_angle_gamma 90.00
loop_
_atom_site_label
_atom_site_type_symbol
_atom_site_fract_x
_atom_site_fract_y
_atom_site_fract_z
Pm1 Pm 0.0000 0.0000 0.2500
Pm2 Pm 0.2478 0.3689 0.0000
Nd1 Nd 0.1022 0.1262 0.0000
Ho1 Ho 0.0000 0.2515 0.2500
Ho2 Ho 0.0000 0.5000 0.2500
Ho3 Ho 0.0870 0.3751 0.5000
```

Order from most stable to least stable according to the calculation: a, b